(1)
! GGA-PBE Mg4Cd6Ga, optimized geometry; values from VASP
&SYSTEM
  ibrav = 0, nat = 11, ntyp = 3
/
ATOMIC_SPECIES
Cd 112.41 Cd.upf
Mg 24.30 Mg.upf
Ga 69.72 Ga.upf
CELL_PARAMETERS angstrom
6.620 -2.770 -4.987
-4.624 7.173 1.881
-1.786 2.770 8.094
ATOMIC_POSITIONS crystal
Cd 0.000 0.824 0.446
Cd 0.622 0.176 0.176
Cd 0.000 0.446 0.824
Cd 0.378 0.554 0.554
Cd 0.500 0.000 0.500
Cd 0.500 0.500 0.000
Mg 0.000 0.629 0.020
Mg 0.390 0.371 0.371
Mg 0.610 0.980 0.980
Mg 0.000 0.020 0.629
Ga 0.000 0.000 0.000
! Formation energy from the elements   10 meV/atom
! Crystal system   tetragonal
! VASP energy   -1.344 eV/atom
! Size of the total moment   0.00 μB per atom

(2)
! GGA-PBE Sc2MoC2, optimized geometry; values from VASP
&SYSTEM
  ibrav = 0, nat = 5, ntyp = 3
/
ATOMIC_SPECIES
C 12.01 C.upf
Mo 95.94 Mo.upf
Sc 44.96 Sc.upf
CELL_PARAMETERS angstrom
-2.745 -2.225 0.999
2.112 -1.414 2.651
-1.893 1.479 4.841
ATOMIC_POSITIONS crystal
C 0.574 0.574 0.853
C 0.426 0.426 0.147
Mo 0.000 0.000 0.000
Sc 0.750 0.250 0.500
Sc 0.250 0.750 0.500
! Formation energy from the elements   536 meV/atom
! Crystal system   tetragonal
! VASP energy   -7.853 eV/atom
! Size of the total moment   0.11 μB per atom